1.
Computed, not measured: Pu2ZnGa2 after structural relaxation at the PBE-GGA level of DFT.

```
Pu2ZnGa2
1.0
-3.8501 0.7367 0.2092
1.3411 -2.7523 -2.4567
-0.6084 -4.5246 4.7369
Pu Ga Zn
2 2 1
Cartesian
-0.7369 -4.1746 1.1384
-2.3805 -2.3657 1.3510
-0.4727 -2.2099 -0.9184
-2.6446 -4.3304 3.4078
0.0000 0.0000 0.0000
```

Calculated values
**Crystal system**: trigonal
**Energy of formation from the pure elements**: 0.08 eV/atom
**E_tot**: -35.58 eV/cell
**Volume**: 17.6 A^3/atom

2.
Computed, not measured: Pu2Zn3Ga4 after structural relaxation at the PBE-GGA level of DFT.

```
Pu2Zn3Ga4
1.0
-4.4245 3.2735 1.4422
-4.5785 -6.2433 0.1247
3.8567 -2.6940 6.7233
Pu Ga Zn
4 8 6
Cartesian
-2.4322 -3.9851 1.5838
-2.7142 -1.6787 6.7064
0.8351 -1.4922 5.9489
-5.9814 -4.1716 2.3413
-1.1418 -3.6929 4.8792
-4.0046 -1.9709 3.4111
-1.2308 0.8392 5.5425
-3.1097 -4.7837 6.9292
-2.0366 -0.8801 1.3611
-0.8975 -6.4204 6.2081
-3.9156 -6.5030 2.7478
-4.2489 0.7566 2.0822
0.0000 0.0000 0.0000
-3.7015 0.4047 4.5604
-1.4892 -1.2321 3.8393
-4.5015 -1.4849 0.7835
-1.4449 -6.0685 3.7299
-3.6571 -4.4317 4.4510
```

Calculated values
**Crystal system**: orthorhombic
**Energy of formation from the pure elements**: -0.24 eV/atom
**E_tot**: -93.51 eV/cell
**Volume**: 18.8 A^3/atom

3.
Computed, not measured: Pu2ZnGa5 after structural relaxation at the PBE-GGA level of DFT.

```
Pu2ZnGa5
1.0
6.0451 0.0041 0.0059
-2.9726 5.2637 -0.0059
-2.9726 -1.7962 4.9478
Ga Pu Zn
5 2 1
Cartesian
-3.1374 0.0664 3.8453
-3.1374 3.5934 1.3705
1.3727 0.9658 1.3764
-1.6493 0.9620 1.3710
-1.6024 2.6981 3.8453
-0.1148 0.0669 3.8492
-0.1148 3.5969 1.3724
-4.6277 2.6991 3.8467
```

Calculated values
**Crystal system**: tetragonal
**Energy of formation from the pure elements**: -0.29 eV/atom
**E_tot**: -47.42 eV/cell
**Volume**: 19.7 A^3/atom

4.
Computed, not measured: PuZn2Ga after structural relaxation at the PBE-GGA level of DFT.

```
PuZn2Ga
1.0
-1.3382 -1.4924 -1.6237
2.1987 -1.0499 -0.8473
-0.6511 -6.9581 6.9322
Pu Ga Zn
1 1 2
Cartesian
0.1047 -4.7502 2.2306
0.4302 -1.2711 -1.2355
-0.4893 -5.2286 5.2091
-0.1618 -1.7295 1.7231
```

Calculated values
**Crystal system**: tetragonal
**Energy of formation from the pure elements**: 0.18 eV/atom
**E_tot**: -19.18 eV/cell
**Volume**: 16.4 A^3/atom